The following is a DFT calculation (PBE+U) of a relaxed InCoOF2 crystal.

a b c (Å): 4.271 4.271 4.113
angles (deg): 90.00 90.00 90.00
Space group P4/mmm (No. 123)
Symmetry-distinct sites (fractional):
In 0.000 0.000 0.000 [1 per cell]
Co 0.500 0.500 0.500 [1 per cell]
O 0.000 0.000 0.500 [1 per cell]
F 0.000 0.500 0.000 [2 per cell]

The mass density is 5.04 g/cm³. The calculation puts the energy above the most stable polymorph in this dataset at 0.345 eV/atom. Its crystal system is tetragonal.